# 1
Li3CeZr2S6 after structural relaxation, computed with PBE.

## Properties
Its total magnetic moment is 3.16 Bohr magnetons per cell. The calculation puts the density of states at the Fermi level at 17.66 states/eV per cell. As for the total energy: -6.036 eV per atom. The mass density is 3.90 g cm⁻³. For the calculated volume, the calculation gives 19.02 Å³ per atom.

Cell: 6.4908 11.2371 6.6235 Å, 90.00 109.12 90.00°
Space group C2/m (No. 12)
One atom of each set of equivalent atoms:
Li 0.0000 0.0000 0.0000 [2 per cell]
Li 0.0000 0.3336 0.0000 [4 per cell]
Ce 0.0000 0.5000 0.5000 [2 per cell]
Zr 0.0000 0.1662 0.5000 [4 per cell]
S 0.2352 0.0000 0.7549 [4 per cell]
S 0.2405 0.1752 0.2476 [8 per cell]


# 2
Ta2AlTl after structural relaxation, computed with PBE.

## Properties
Its formation energy is 1.3 eV/f.u. Its total magnetic moment is 0.00 Bohr magnetons per cell. The calculation puts the density of states at the Fermi level at 5.17 states/eV per cell. As for the total energy: -7.135 eV per atom. The mass density is 12.95 g cm⁻³. For the calculated volume, the calculation gives 19.02 Å³ per atom.

Cell: 10.1409 2.9179 5.1678 Å, 90.00 95.79 90.00°
Space group Cm (No. 8)
One atom of each set of equivalent atoms:
Ta 0.0000 0.0000 0.0000 [2 per cell]
Ta 0.2488 0.5000 0.2443 [2 per cell]
Al 0.4906 0.0000 0.4740 [2 per cell]
Tl 0.2496 0.0000 0.7423 [2 per cell]